No. 1
This record from Alexandria describes Cs2BaHI6 after structural relaxation. The functional is GGA-PBE.

a b c (Å): 9.676 9.676 8.680
angles (deg): 56.13 56.13 90.00
Atoms (fractional coordinates):
1 Ba 0.000 0.000 0.000
2 Cs 0.250 0.750 0.500
3 I 0.244 0.756 0.000
4 I 0.756 0.244 0.000
5 Cs 0.750 0.250 0.500
6 H 0.500 0.500 0.000
7 I 0.756 0.756 0.000
8 I 0.244 0.244 0.000
9 I 0.678 0.678 0.645
10 I 0.322 0.322 0.355

Space group: I4/mmm, No. 139
Spin magnetization: 0.00 μB per atom
V: 500.1 Å³/cell
Calculated total energy: -2.63 eV/atom



No. 2
This record from Alexandria describes NpTaAs2 after structural relaxation. The functional is GGA-PBE.

a b c (Å): 4.791 4.791 4.659
angles (deg): 59.06 59.06 60.00
Each line ends with the local moment (μB).
Atoms (fractional coordinates):
1 Ta 0.000 0.000 0.000  -0.36
2 As 0.247 0.247 0.260  -0.06
3 As 0.753 0.753 0.740  -0.06
4 Np 0.500 0.500 0.500  3.02

Space group: R-3m, No. 166
DFT formation energy: -0.293 eV per atom
ΔE to the lowest computed polymorph: 176 meV/atom
Spin magnetization: 0.61 μB per atom
V: 74.5 Å³/cell



No. 3
This record from Alexandria describes AcPm3Rh2 after structural relaxation. The functional is GGA-PBE.

a b c (Å): 4.311 8.823 10.755
angles (deg): 71.87 78.44 75.86
Atoms (fractional coordinates):
1 Pm 0.715 0.663 0.906
2 Rh 0.881 0.312 0.925
3 Rh 0.364 0.921 0.351
4 Ac 0.555 0.605 0.285
5 Pm 0.285 0.337 0.094
6 Rh 0.636 0.079 0.649
7 Pm 0.079 0.011 0.831
8 Pm 0.825 0.816 0.533
9 Pm 0.175 0.184 0.467
10 Ac 0.445 0.395 0.715
11 Rh 0.119 0.688 0.075
12 Pm 0.921 0.989 0.169

Space group: C2/m, No. 12
DFT formation energy: -0.518 eV per atom
ΔE to the lowest computed polymorph: 0 meV/atom
Spin magnetization: 0.00 μB per atom
V: 373.5 Å³/cell



No. 4
This record from Alexandria describes Pu2Ge2Pt3 after structural relaxation. The functional is GGA-PBE.

a b c (Å): 3.410 6.172 7.477
angles (deg): 123.25 90.00 106.04
Each line ends with the local moment (μB).
Atoms (fractional coordinates):
1 Pt 0.418 0.837 0.567  0.01
2 Pt 0.582 0.163 0.433  0.01
3 Pt 0.500 0.000 0.000  0.01
4 Ge 0.835 0.670 0.723  0.00
5 Ge 0.165 0.330 0.277  0.00
6 Pu 0.183 0.365 0.875  0.64
7 Pu 0.817 0.635 0.125  0.64

Space group: C2/m, No. 12
DFT formation energy: -0.448 eV per atom
ΔE to the lowest computed polymorph: 274 meV/atom
Spin magnetization: 0.19 μB per atom
V: 124.2 Å³/cell



No. 5
This record from Alexandria describes OsSeS3 after structural relaxation. The functional is GGA-PBE.

a b c (Å): 4.596 4.596 4.596
angles (deg): 90.00 90.00 90.00
Atoms (fractional coordinates):
1 Se 0.500 0.500 0.500
2 S 0.500 0.000 0.000
3 S 0.000 0.000 0.500
4 S 0.000 0.500 0.000
5 Os 0.000 0.000 0.000

Space group: Pm-3m, No. 221
ΔE to the lowest computed polymorph: 0 meV/atom
Spin magnetization: 0.00 μB per atom
V: 97.1 Å³/cell
E_form (uncorrected): 3.24 eV/f.u.



No. 6
This record from Alexandria describes Ca4Hg after structural relaxation. The functional is GGA-PBE.

a b c (Å): 8.000 8.000 8.009
angles (deg): 103.98 103.98 121.08
Atoms (fractional coordinates):
1 Ca 0.724 0.876 0.246
2 Ca 0.784 0.032 0.848
3 Hg 0.330 0.330 0.000
4 Ca 0.186 0.934 0.652
5 Ca 0.728 0.380 0.254
6 Ca 0.630 0.478 0.754
7 Ca 0.126 0.474 0.746
8 Ca 0.282 0.534 0.348
9 Hg 0.580 0.080 0.500
10 Ca 0.184 0.936 0.152

Space group: Fdd2, No. 43
DFT formation energy: -0.179 eV per atom
ΔE to the lowest computed polymorph: 0 meV/atom
Spin magnetization: 0.00 μB per atom
V: 382.4 Å³/cell



No. 7
This record from Alexandria describes Fe2AsBr after structural relaxation. The functional is GGA-PBE.

a b c (Å): 4.259 4.259 7.073
angles (deg): 60.80 60.80 44.43
Each line ends with the local moment (μB).
Atoms (fractional coordinates):
1 Fe 0.966 0.966 0.898  2.53
2 Br 0.250 0.250 0.250  0.06
3 As 0.750 0.750 0.750  -0.06
4 Fe 0.534 0.534 0.602  2.53

Space group: C2/m, No. 12
ΔE to the lowest computed polymorph: 95 meV/atom
Spin magnetization: 1.30 μB per atom
V: 76.3 Å³/cell
E_form (uncorrected): 0.48 eV/f.u.